DFT (GGA-PBE) results for crystalline NdRe2N4 at its relaxed geometry.

It has space group Cmcm (No. 63), with a = 3.2890 Å, b = 9.8442 Å, c = 10.1109 Å, α = 90.00°, β = 90.00° and γ = 90.00°. The distinct sites, in fractional coordinates, are Nd at (0.0000, 0.1257, 0.2500), Re at (0.0000, 0.3861, 0.0623), N at (0.0000, 0.0000, 0.0000), N at (0.0000, 0.2564, 0.6007) and N at (0.0000, 0.4285, 0.2500).

Its crystal system is orthorhombic. For the uncorrected formation energy, the calculation gives -0.37 eV/atom.